[1]
First-principles (GGA-PBE) data for crystalline Ir4PtSe at its relaxed geometry, as listed in the Alexandria database.

Cell: 7.357 7.357 7.357 Å, 90.00 90.00 90.00°
Space group F-43m (No. 216)
Asymmetric unit:
Ir 0.125 0.125 0.125 [16 per cell]
Pt 0.250 0.250 0.750 [4 per cell]
Se 0.000 0.000 0.500 [4 per cell]

## Properties
* Fermi-level density of states: 40.4 states/eV per cell
* volume: 16.59 Å³ per atom

[2]
First-principles (GGA-PBE) data for crystalline Ir2PtSe at its relaxed geometry, as listed in the Alexandria database.

Cell: 4.031 4.031 7.743 Å, 90.00 90.00 90.00°
Space group I-4m2 (No. 119)
Asymmetric unit:
Ir 0.000 0.000 0.000 [2 per cell]
Ir 0.000 0.500 0.250 [2 per cell]
Pt 0.000 0.500 0.750 [2 per cell]
Se 0.000 0.000 0.500 [2 per cell]

## Properties
* Fermi-level density of states: 12.4 states/eV per cell
* volume: 15.72 Å³ per atom

[3]
First-principles (GGA-PBE) data for crystalline IrPtSe at its relaxed geometry, as listed in the Alexandria database.

Cell: 6.087 6.087 6.087 Å, 90.00 90.00 90.00°
Space group F-43m (No. 216)
Asymmetric unit:
Ir 0.000 0.000 0.000 [4 per cell]
Pt 0.250 0.250 0.750 [4 per cell]
Se 0.250 0.250 0.250 [4 per cell]

## Properties
* Fermi-level density of states: 17.5 states/eV per cell
* E above lowest polymorph: 0.52 eV per formula unit
* volume: 18.80 Å³ per atom

[4]
First-principles (GGA-PBE) data for crystalline Ir2PtSe at its relaxed geometry, as listed in the Alexandria database.

Cell: 4.722 4.722 2.819 Å, 90.00 90.00 90.00°
Space group P4/mmm (No. 123)
Asymmetric unit:
Ir 0.000 0.500 0.000 [2 per cell]
Pt 0.000 0.000 0.500 [1 per cell]
Se 0.500 0.500 0.500 [1 per cell]

## Properties
* Fermi-level density of states: 4.6 states/eV per cell
* volume: 15.71 Å³ per atom

[5]
First-principles (GGA-PBE) data for crystalline IrPtSe4 at its relaxed geometry, as listed in the Alexandria database.

Cell: 7.714 7.714 7.714 Å, 90.00 90.00 90.00°
Space group F-43m (No. 216)
Asymmetric unit:
Ir 0.000 0.000 0.000 [4 per cell]
Pt 0.250 0.250 0.750 [4 per cell]
Se 0.124 0.124 0.376 [16 per cell]

## Properties
* Fermi-level density of states: 36.3 states/eV per cell
* E above lowest polymorph: 9.95 eV per formula unit
* volume: 19.12 Å³ per atom

[6]
First-principles (GGA-PBE) data for crystalline Ir2PtSe at its relaxed geometry, as listed in the Alexandria database.

Cell: 2.833 3.906 5.769 Å, 90.00 90.00 90.00°
Space group Pmm2 (No. 25)
Asymmetric unit:
Ir 0.000 0.000 0.000 [1 per cell]
Ir 0.500 0.500 0.250 [1 per cell]
Pt 0.000 0.000 0.486 [1 per cell]
Se 0.500 0.500 0.814 [1 per cell]

## Properties
* Fermi-level density of states: 4.0 states/eV per cell
* volume: 15.96 Å³ per atom

[7]
First-principles (GGA-PBE) data for crystalline IrPt2Se at its relaxed geometry, as listed in the Alexandria database.

Cell: 2.880 3.800 5.893 Å, 90.00 90.00 90.00°
Space group Pmm2 (No. 25)
Asymmetric unit:
Ir 0.000 0.000 0.000 [1 per cell]
Pt 0.000 0.000 0.508 [1 per cell]
Pt 0.500 0.500 0.262 [1 per cell]
Se 0.500 0.500 0.814 [1 per cell]

## Properties
* Fermi-level density of states: 3.6 states/eV per cell
* volume: 16.12 Å³ per atom

[8]
First-principles (GGA-PBE) data for crystalline Ir2PtSe at its relaxed geometry, as listed in the Alexandria database.

Cell: 4.070 4.070 3.775 Å, 90.00 90.00 90.00°
Space group P4/mmm (No. 123)
Asymmetric unit:
Ir 0.000 0.500 0.000 [2 per cell]
Pt 0.000 0.000 0.500 [1 per cell]
Se 0.500 0.500 0.500 [1 per cell]

## Properties
* Fermi-level density of states: 2.6 states/eV per cell
* volume: 15.63 Å³ per atom

[9]
First-principles (GGA-PBE) data for crystalline IrPt2Se at its relaxed geometry, as listed in the Alexandria database.

Cell: 2.911 2.911 7.553 Å, 90.00 90.00 90.00°
Space group P4mm (No. 99)
Asymmetric unit:
Ir 0.000 0.000 0.000 [1 per cell]
Pt 0.000 0.000 0.515 [1 per cell]
Pt 0.500 0.500 0.256 [1 per cell]
Se 0.500 0.500 0.785 [1 per cell]

## Properties
* Fermi-level density of states: 4.3 states/eV per cell
* volume: 16.00 Å³ per atom

[10]
First-principles (GGA-PBE) data for crystalline IrPtSe at its relaxed geometry, as listed in the Alexandria database.

Cell: 2.967 2.967 11.128 Å, 90.00 90.00 90.00°
Space group I4mm (No. 107)
Asymmetric unit:
Ir 0.000 0.000 0.000 [2 per cell]
Pt 0.000 0.000 0.328 [2 per cell]
Se 0.000 0.000 0.637 [2 per cell]

## Properties
* Fermi-level density of states: 4.6 states/eV per cell
* E above lowest polymorph: 0.31 eV per formula unit
* volume: 16.33 Å³ per atom

[11]
First-principles (GGA-PBE) data for crystalline IrPt2Se6 at its relaxed geometry, as listed in the Alexandria database.

Cell: 16.783 3.776 6.761 Å, 90.00 100.55 90.00°
Space group C2/m (No. 12)
Asymmetric unit:
Ir 0.000 0.000 0.000 [2 per cell]
Pt 0.166 0.500 0.334 [4 per cell]
Se 0.014 0.500 0.251 [4 per cell]
Se 0.151 0.000 0.080 [4 per cell]
Se 0.180 0.000 0.588 [4 per cell]

## Properties
* Fermi-level density of states: 5.8 states/eV per cell
* volume: 23.40 Å³ per atom

[12]
First-principles (GGA-PBE) data for crystalline IrPt3Se8 at its relaxed geometry, as listed in the Alexandria database.

Cell: 12.202 7.521 7.243 Å, 90.00 122.32 90.00°
Space group C2/m (No. 12)
Asymmetric unit:
Ir 0.000 0.000 0.000 [2 per cell]
Pt 0.000 0.500 0.000 [2 per cell]
Pt 0.250 0.250 0.500 [4 per cell]
Se 0.005 0.247 0.237 [8 per cell]
Se 0.242 0.000 0.257 [4 per cell]
Se 0.243 0.500 0.261 [4 per cell]

## Properties
* Fermi-level density of states: 10.0 states/eV per cell
* volume: 23.40 Å³ per atom

Result set for formation energy from raw total energies: 798; 541; 399; 444; 1309; 364; 268; 518; 253; 327; -341; -355 meV per atom, one per record in the order listed.